Record 1
DFT (PBE) results for a relaxed Rb2PRhI6 crystal.

```
Rb2PRhI6
1.0
7.962 0.000 0.000
0.000 7.962 0.000
3.981 3.981 5.668
I P Rh Rb
6 1 1 2
Direct
0.754 0.754 0.000 I
0.246 0.246 0.000 I
0.755 0.755 0.490 I
0.246 0.754 0.000 I
0.245 0.245 0.510 I
0.754 0.246 0.000 I
0.500 0.500 0.000 P
0.000 0.000 0.000 Rh
0.250 0.750 0.500 Rb
0.750 0.250 0.500 Rb
```

Its uncorrected formation energy is -0.5189 eV/atom. The calculation puts the density of states at the Fermi level at 4.25 states/eV per cell.



Record 2
DFT (PBE) results for a relaxed Cu2RuI8 crystal.

```
Cu2RuI8
1.0
6.715 0.672 0.558
0.980 8.307 -0.801
0.980 0.732 8.313
I Cu Ru
8 2 1
Direct
0.205 0.244 0.924 I
0.206 0.418 0.418 I
0.293 0.785 0.785 I
0.205 0.924 0.244 I
0.795 0.756 0.076 I
0.794 0.582 0.582 I
0.707 0.215 0.215 I
0.795 0.076 0.756 I
0.346 0.190 0.190 Cu
0.654 0.810 0.810 Cu
0.000 0.000 0.000 Ru
```

Its uncorrected formation energy is -0.0344 eV/atom. The calculation puts the density of states at the Fermi level at 12.51 states/eV per cell. The calculation puts the energy relative to the lowest polymorph listed for this composition at 0.000 eV per atom.



Record 3
DFT (PBE) results for a relaxed Rb2TeH4 crystal.

```
Rb2TeH4
1.0
-0.132 2.319 -5.947
6.389 -0.022 -0.150
-3.190 -5.973 1.169
Rb Te H
2 1 4
Direct
0.750 0.250 0.500 Rb
0.250 0.750 0.500 Rb
0.000 0.000 0.000 Te
0.058 0.500 0.000 H
0.500 0.058 0.000 H
0.942 0.500 0.000 H
0.500 0.942 0.000 H
```

The value obtained for the total energy is -2.87 eV/atom.



Record 4
DFT (PBE) results for a relaxed KHg2Cl crystal.

```
KHg2Cl
1.0
5.663 -0.041 0.000
0.096 5.662 0.001
-2.880 -2.811 3.985
K Hg Cl
1 2 1
Direct
0.500 0.500 0.000 K
0.250 0.750 0.500 Hg
0.000 0.000 0.000 Hg
0.750 0.250 0.500 Cl
```

Its uncorrected formation energy is -0.7813 eV/atom. The calculation puts the density of states at the Fermi level at 0.00 states/eV per cell. The calculation puts the energy relative to the lowest polymorph listed for this composition at 0.095 eV per atom.